First-principles (PBE-GGA) data for an optimized crystal structure of Tb2Nd8Tl, as listed in Alexandria.

For the total magnetization, the calculation gives 0.00 μB/cell. The calculation puts the relative energy among the computed polymorphs at 0.065 eV/atom. As for the density of states at the Fermi level: 36.605 states/eV/cell. The calculation puts the energy of formation from the pure elements at 0.2 eV per formula unit.

The space group is Immm (No. 71) and the conventional cell measures 5.625, 7.717 and 17.607 Å, with angles of 90.00, 90.00 and 90.00 degrees. Symmetry generates all atoms from Tb at (0.000, 0.000, 0.192), Nd at (0.000, 0.239, 0.000), Nd at (0.000, 0.273, 0.363), Nd at (0.000, 0.500, 0.179) and Tl at (0.000, 0.000, 0.500).